Record 1
An optimized crystal structure of Nb2AgOsRu, computed with PBE-GGA.

Computed properties:
* ΔE_f: 2.433 eV/atom
* ρ: 9.0 g/cm³
* raw total energy: -6.27 eV/atom

a = 4.780 Å, b = 4.780 Å, c = 4.713 Å
α = 90.00°, β = 90.00°, γ = 90.00°
Space group P4/mmm (No. 123)
Unique sites:
Nb 0.000 0.500 0.000 (multiplicity 2)
Ag 0.000 0.000 0.000 (multiplicity 1)
Os 0.000 0.000 0.500 (multiplicity 1)
Ru 0.500 0.500 0.500 (multiplicity 1)

Record 2
An optimized crystal structure of KTc2S, computed with PBE-GGA.

Computed properties:
* formation energy (no corrections): 0.623 eV/atom
* ρ: 4.6 g/cm³
* raw total energy: -5.87 eV/atom

a = 4.770 Å, b = 4.770 Å, c = 16.882 Å
α = 90.00°, β = 90.00°, γ = 90.00°
Space group I4_1/amd (No. 141, origin choice 2)
Unique sites:
K 0.000 0.250 0.375 (multiplicity 4)
Tc 0.000 0.000 0.000 (multiplicity 8)
S 0.000 0.250 0.875 (multiplicity 4)

Record 3
An optimized crystal structure of PrEuCo4, computed with PBE-GGA.

Computed properties:
* ΔE_f: 0.039 eV/atom
* ρ: 8.9 g/cm³
* raw total energy: -7.21 eV/atom

a = 7.340 Å, b = 7.340 Å, c = 7.340 Å
α = 90.00°, β = 90.00°, γ = 90.00°
Space group F-43m (No. 216)
Unique sites:
Pr 0.000 0.000 0.000 (multiplicity 4)
Eu 0.250 0.250 0.250 (multiplicity 4)
Co 0.125 0.125 0.625 (multiplicity 16)

Record 4
An optimized crystal structure of HfAl2Ag, computed with PBE-GGA.

Computed properties:
* ΔE_f: 0.111 eV/atom
* energy relative to the lowest polymorph listed for this composition: 0.392 eV/atom
* ρ: 7.3 g/cm³
* raw total energy: -4.96 eV/atom

a = 7.351 Å, b = 7.351 Å, c = 5.740 Å
α = 90.00°, β = 90.00°, γ = 90.00°
Space group I-42d (No. 122)
Unique sites:
Hf 0.000 0.000 0.000 (multiplicity 4)
Al 0.219 0.750 0.625 (multiplicity 8)
Ag 0.000 0.000 0.500 (multiplicity 4)

Record 5
An optimized crystal structure of La5Pr2Sc2, computed with PBE-GGA.

Computed properties:
* ΔE_f: 0.118 eV/atom
* ρ: 5.8 g/cm³
* raw total energy: -5.09 eV/atom

a = 20.267 Å, b = 3.501 Å, c = 8.763 Å
α = 90.00°, β = 102.17°, γ = 90.00°
Space group C2/m (No. 12)
Unique sites:
La 0.000 0.000 0.000 (multiplicity 2)
La 0.165 0.500 0.995 (multiplicity 4)
La 0.220 0.000 0.650 (multiplicity 4)
Pr 0.055 0.000 0.661 (multiplicity 4)
Sc 0.100 0.500 0.345 (multiplicity 4)

Record 6
An optimized crystal structure of Y2TeBr, computed with PBE-GGA.

Computed properties:
* formation energy (no corrections): -1.170 eV/atom
* energy relative to the lowest polymorph listed for this composition: 0.000 eV/atom
* ρ: 5.8 g/cm³
* raw total energy: -5.61 eV/atom

a = 4.064 Å, b = 4.064 Å, c = 6.681 Å
α = 90.00°, β = 90.00°, γ = 90.00°
Space group P4mm (No. 99)
Unique sites:
Y 0.000 0.000 0.000 (multiplicity 1)
Y 0.500 0.500 0.322 (multiplicity 1)
Te 0.500 0.500 0.836 (multiplicity 1)
Br 0.000 0.000 0.450 (multiplicity 1)

Record 7
An optimized crystal structure of Pr6Ho2Cd, computed with PBE-GGA.

Computed properties:
* ΔE_f: -0.011 eV/atom
* energy relative to the lowest polymorph listed for this composition: 0.009 eV/atom
* ρ: 7.1 g/cm³
* raw total energy: -4.32 eV/atom

a = 10.615 Å, b = 10.615 Å, c = 5.358 Å
α = 90.00°, β = 90.00°, γ = 90.00°
Space group P4_2/mnm (No. 136)
Unique sites:
Pr 0.025 0.325 0.000 (multiplicity 8)
Pr 0.137 0.863 0.500 (multiplicity 4)
Ho 0.197 0.197 0.500 (multiplicity 4)
Cd 0.000 0.000 0.000 (multiplicity 2)

Record 8
An optimized crystal structure of Rb8B3Se8, computed with PBE-GGA.

Computed properties:
* formation energy (no corrections): -0.751 eV/atom
* ρ: 2.9 g/cm³
* raw total energy: -3.68 eV/atom

a = 24.450 Å, b = 6.874 Å, c = 9.643 Å
α = 90.00°, β = 108.12°, γ = 90.00°
Space group C2/m (No. 12)
Unique sites:
Rb 0.028 0.000 0.246 (multiplicity 4)
Rb 0.119 0.500 0.949 (multiplicity 4)
Rb 0.175 0.500 0.462 (multiplicity 4)
Rb 0.200 0.000 0.794 (multiplicity 4)
B 0.000 0.500 0.500 (multiplicity 2)
B 0.183 0.000 0.196 (multiplicity 4)
Se 0.017 0.500 0.326 (multiplicity 4)
Se 0.113 0.000 0.019 (multiplicity 4)
Se 0.174 0.000 0.394 (multiplicity 4)
Se 0.239 0.500 0.829 (multiplicity 4)